UNi6P4: relaxed, PBE.

Computed properties:
* symmetry: I-42m
* offset from the most stable computed form: 41 meV per atom
* energy of formation from the pure elements: -570.7 kJ/mol of formula units
* total moment: 2.2 μB/f.u.
* Fermi-level density of states: 1.063 states/eV per atom

Lattice parameters (Å, degrees): 5.871 5.871 5.871 95.11 117.09 117.09
Atoms (fractional coordinates):
Ni: 0.000 0.773 0.480
P: 0.573 0.435 0.435
Ni: 0.294 0.520 0.520
P: 0.000 0.565 0.138
Ni: 0.500 0.000 0.500
Ni: 0.500 0.500 0.000
P: 0.000 0.138 0.565
Ni: 0.000 0.480 0.773
Ni: 0.706 0.227 0.227
U: 0.000 0.000 0.000
P: 0.427 0.862 0.862

U3Ni5P2: relaxed, PBE.

Computed properties:
* symmetry: Ibam
* energy of formation from the pure elements: -317.0 kJ/mol of formula units
* total moment: 5.9 μB/f.u.
* Fermi-level density of states: 1.706 states/eV per atom

Lattice parameters (Å, degrees): 5.321 8.189 8.189 78.19 71.04 71.04
Atoms (fractional coordinates):
Ni: 0.750 0.500 0.500
U: 0.385 0.397 0.834
Ni: 0.505 0.745 0.745
U: 0.615 0.603 0.166
Ni: 0.995 0.255 0.255
P: 0.347 0.003 0.303
Ni: 0.005 0.745 0.745
Ni: 0.495 0.255 0.255
Ni: 0.124 0.518 0.234
Ni: 0.876 0.482 0.766
Ni: 0.250 0.500 0.500
U: 0.750 0.000 0.000
P: 0.153 0.697 0.997
U: 0.115 0.166 0.603
Ni: 0.624 0.234 0.518
U: 0.250 0.000 0.000
U: 0.885 0.834 0.397
Ni: 0.376 0.766 0.482
P: 0.847 0.303 0.003
P: 0.653 0.997 0.697

UVNiP2: relaxed, PBE.

Computed properties:
* symmetry: I-4m2
* energy of formation from the pure elements: -345.6 kJ/mol of formula units
* total moment: 3.0 μB/f.u.
* Fermi-level density of states: 1.485 states/eV per atom

Lattice parameters (Å, degrees): 3.744 3.744 5.962 108.30 108.30 90.00
Atoms (fractional coordinates):
U: 0.000 0.000 0.000
P: 0.619 0.619 0.239
P: 0.381 0.381 0.761
V: 0.750 0.250 0.500
Ni: 0.250 0.750 0.500

V4NiP: relaxed, PBE.

Computed properties:
* symmetry: I4/mcm
* energy of formation from the pure elements: -161.5 kJ/mol of formula units
* total moment: 0.0 μB/f.u.
* Fermi-level density of states: 0.866 states/eV per atom

Lattice parameters (Å, degrees): 5.746 5.746 6.244 117.40 117.40 90.00
Atoms (fractional coordinates):
Ni: 0.500 0.500 0.000
P: 0.250 0.250 0.500
V: 0.521 0.021 0.727
V: 0.479 0.979 0.273
Ni: 0.000 0.000 0.000
V: 0.793 0.293 0.273
V: 0.293 0.479 0.273
V: 0.707 0.521 0.727
V: 0.021 0.207 0.727
V: 0.979 0.793 0.273
P: 0.750 0.750 0.500
V: 0.207 0.707 0.727

VNiP2: relaxed, PBE.

Computed properties:
* symmetry: I-42d
* energy of formation from the pure elements: -36.0 kJ/mol of formula units
* total moment: 0.0 μB/f.u.
* Fermi-level density of states: 0.930 states/eV per atom

Lattice parameters (Å, degrees): 5.353 5.353 6.139 64.15 64.15 90.00
Atoms (fractional coordinates):
P: 0.875 0.892 0.750
V: 0.250 0.750 0.500
P: 0.375 0.358 0.750
Ni: 0.000 0.000 0.000
V: 0.500 0.500 0.000
P: 0.642 0.125 0.250
P: 0.108 0.625 0.250
Ni: 0.750 0.250 0.500

VNi3P: relaxed, PBE.

Computed properties:
* symmetry: Pm-3m
* energy of formation from the pure elements: 86.0 kJ/mol of formula units
* total moment: 2.9 μB/f.u.
* Fermi-level density of states: 1.090 states/eV per atom

Lattice parameters (Å, degrees): 4.130 4.130 4.130 90.00 90.00 90.00
Atoms (fractional coordinates):
V: 0.500 0.500 0.500
Ni: 0.000 0.000 0.500
Ni: 0.000 0.500 0.000
P: 0.000 0.000 0.000
Ni: 0.500 0.000 0.000

V2NiP3: relaxed, PBE.

Computed properties:
* symmetry: Pnma
* energy of formation from the pure elements: -270.1 kJ/mol of formula units
* total moment: 0.0 μB/f.u.
* Fermi-level density of states: 0.771 states/eV per atom

Lattice parameters (Å, degrees): 3.265 9.206 10.707 90.00 90.00 90.00
Atoms (fractional coordinates):
V: 0.250 0.808 0.933
P: 0.250 0.388 0.111
P: 0.250 0.500 0.398
P: 0.250 0.803 0.580
V: 0.750 0.192 0.067
V: 0.250 0.308 0.567
Ni: 0.750 0.226 0.794
P: 0.750 0.612 0.889
V: 0.750 0.015 0.272
Ni: 0.750 0.726 0.706
P: 0.750 0.500 0.602
P: 0.250 0.303 0.920
V: 0.250 0.485 0.772
Ni: 0.250 0.274 0.294
V: 0.750 0.515 0.228
V: 0.750 0.692 0.433
V: 0.250 0.985 0.728
P: 0.250 0.000 0.102
P: 0.750 0.000 0.898
P: 0.250 0.888 0.389
P: 0.750 0.112 0.611
P: 0.750 0.197 0.420
P: 0.750 0.697 0.080
Ni: 0.250 0.774 0.206

VNiP3: relaxed, PBE.

Computed properties:
* symmetry: Pm-3m
* offset from the most stable computed form: 15 meV per atom
* energy of formation from the pure elements: 307.9 kJ/mol of formula units
* total moment: 2.2 μB/f.u.
* Fermi-level density of states: 0.814 states/eV per atom

Lattice parameters (Å, degrees): 4.366 4.366 4.366 90.00 90.00 90.00
Atoms (fractional coordinates):
P: 0.500 0.000 0.000
V: 0.500 0.500 0.500
Ni: 0.000 0.000 0.000
P: 0.000 0.000 0.500
P: 0.000 0.500 0.000

V2NiP: relaxed, PBE.

Computed properties:
* symmetry: I-42d
* energy of formation from the pure elements: -45.4 kJ/mol of formula units
* total moment: 0.0 μB/f.u.
* Fermi-level density of states: 0.917 states/eV per atom

Lattice parameters (Å, degrees): 6.464 6.464 5.210 51.66 51.66 90.00
Atoms (fractional coordinates):
V: 0.875 0.865 0.750
V: 0.615 0.125 0.250
P: 0.500 0.500 0.000
P: 0.250 0.750 0.500
Ni: 0.750 0.250 0.500
Ni: 0.000 0.000 0.000
V: 0.375 0.385 0.750
V: 0.135 0.625 0.250

V6NiP: relaxed, PBE.

Computed properties:
* symmetry: R-3
* energy of formation from the pure elements: -264.3 kJ/mol of formula units
* total moment: 1.5 μB/f.u.
* Fermi-level density of states: 1.728 states/eV per atom

Lattice parameters (Å, degrees): 6.589 6.591 4.659 44.97 44.98 59.99
Atoms (fractional coordinates):
V: 0.500 0.251 0.250
P: 0.500 0.500 0.500
V: 0.999 0.500 0.250
V: 0.748 0.001 0.751
Ni: 0.000 0.000 0.000
V: 0.001 0.500 0.750
V: 0.252 0.999 0.249
V: 0.500 0.749 0.750

VNiP3: relaxed, PBE.

Computed properties:
* symmetry: Pm-3m
* offset from the most stable computed form: 0 meV per atom
* energy of formation from the pure elements: 300.6 kJ/mol of formula units
* total moment: 0.0 μB/f.u.
* Fermi-level density of states: 0.716 states/eV per atom

Lattice parameters (Å, degrees): 4.462 4.462 4.462 90.00 90.00 90.00
Atoms (fractional coordinates):
P: 0.500 0.000 0.000
V: 0.000 0.000 0.000
P: 0.000 0.500 0.000
Ni: 0.500 0.500 0.500
P: 0.000 0.000 0.500

VNi4P2: relaxed, PBE.

Computed properties:
* symmetry: P4_2/mnm
* energy of formation from the pure elements: -332.9 kJ/mol of formula units
* total moment: 1.0 μB/f.u.
* Fermi-level density of states: 0.832 states/eV per atom

Lattice parameters (Å, degrees): 3.542 6.781 6.781 90.00 90.00 90.00
Atoms (fractional coordinates):
Ni: 0.000 0.674 0.924
Ni: 0.500 0.826 0.424
Ni: 0.000 0.326 0.076
V: 0.500 0.000 0.000
P: 0.000 0.770 0.230
V: 0.000 0.500 0.500
Ni: 0.500 0.576 0.174
P: 0.000 0.230 0.770
Ni: 0.000 0.924 0.674
Ni: 0.000 0.076 0.326
Ni: 0.500 0.424 0.826
P: 0.500 0.270 0.270
Ni: 0.500 0.174 0.576
P: 0.500 0.730 0.730